1.
Compound: SrAuSe2O6
Source: the Alexandria database
Functional: GGA-PBE
Structure: relaxed

Unit cell a=5.496 b=5.496 c=6.961 alpha=66.75 beta=66.75 gamma=60.00
Each line ends with the local moment (μB).
Sites, in units of the cell vectors:
Sr: 0.000 0.000 0.000  0.00
Au: 0.500 0.500 0.500  0.49
Se: 0.790 0.790 0.630  -0.01
Se: 0.210 0.210 0.370  -0.01
O: 0.050 0.483 0.752  0.08
O: 0.716 0.050 0.752  0.08
O: 0.517 0.284 0.248  0.08
O: 0.950 0.517 0.248  0.08
O: 0.284 0.950 0.248  0.08
O: 0.483 0.716 0.752  0.08

## Properties
As for the total DFT energy (no corrections): -52.00 eV/cell. The energy relative to the elements, uncorrected is -99.55 kJ per mole of atoms. As for the space group: R-3.

2.
Compound: Tb6Sm2YHo3
Source: the Alexandria database
Functional: GGA-PBE
Structure: relaxed

Unit cell a=6.170 b=6.170 c=11.815 alpha=94.97 beta=94.97 gamma=119.96
Sites, in units of the cell vectors:
Tb: 0.915 0.582 0.748
Tb: 0.751 0.751 0.253
Tb: 0.085 0.418 0.252
Tb: 0.582 0.915 0.748
Tb: 0.249 0.249 0.747
Tb: 0.418 0.085 0.252
Sm: 0.333 0.667 0.000
Sm: 0.667 0.333 0.000
Y: 0.000 0.000 0.000
Ho: 0.166 0.834 0.500
Ho: 0.834 0.166 0.500
Ho: 0.500 0.500 0.500

## Properties
Its calculated formation energy is 0.02 eV per atom. As for the total DFT energy (no corrections): -57.23 eV/cell. As for the space group: C2/m.

3.
Compound: Rb3CuB2S6
Source: the Alexandria database
Functional: GGA-PBE
Structure: relaxed

Unit cell a=6.630 b=6.630 c=8.722 alpha=90.00 beta=90.00 gamma=120.00
Sites, in units of the cell vectors:
Rb: 0.333 0.667 0.681
Rb: 0.667 0.333 0.319
Rb: 0.000 0.000 0.000
Cu: 0.000 0.000 0.500
B: 0.667 0.333 0.680
B: 0.333 0.667 0.320
S: 0.651 0.826 0.309
S: 0.174 0.349 0.309
S: 0.174 0.826 0.309
S: 0.826 0.651 0.691
S: 0.349 0.174 0.691
S: 0.826 0.174 0.691

## Properties
As for the total DFT energy (no corrections): -51.83 eV/cell. The energy relative to the elements, uncorrected is -53.96 kJ per mole of atoms. As for the space group: P-3m1.

4.
Compound: NaFeP2S
Source: the Alexandria database
Functional: GGA-PBE
Structure: relaxed

Unit cell a=4.194 b=4.194 c=5.388 alpha=90.00 beta=90.00 gamma=90.00
Each line ends with the local moment (μB).
Sites, in units of the cell vectors:
P: 0.000 0.500 0.000  -0.01
P: 0.500 0.000 0.000  -0.01
S: 0.000 0.000 0.500  -0.03
Fe: 0.000 0.000 0.000  0.56
Na: 0.500 0.500 0.500  0.00

## Properties
As for the total DFT energy (no corrections): -24.42 eV/cell. The energy relative to the elements, uncorrected is 6.00 kJ per mole of atoms. As for the space group: P4/mmm.

Here are the calculated size of the total moment numbers, same order: 1.04, 0.00, 0.00, 0.52 (μB/cell).